Compound: TaTi2P2
Source: Alexandria via LeMat-Bulk
Functional: PBE
Structure: optimized geometry

ΔE_f = -1.00 eV per atom
DFT total energy = -86.9 eV for the cell shown
Space group = P4/mbm, No. 127
V = 147.3 Å³/cell

a b c (Å): 6.6115 6.6115 3.3705
angles (deg): 90.00 90.00 90.00
Fractional positions:
1 Ta 0.0000 0.0000 0.0000
2 Ta 0.5000 0.5000 0.0000
3 Ti 0.1565 0.3435 0.5000
4 Ti 0.3435 0.8435 0.5000
5 Ti 0.6565 0.1565 0.5000
6 Ti 0.8435 0.6565 0.5000
7 P 0.1405 0.6405 0.0000
8 P 0.3595 0.1405 0.0000
9 P 0.6405 0.8595 0.0000
10 P 0.8595 0.3595 0.0000

Compound: TaTi2P
Source: Alexandria via LeMat-Bulk
Functional: PBE
Structure: optimized geometry

ΔE_f = -0.77 eV per atom
DFT total energy = -289.1 eV for the cell shown
Space group = Pnma, No. 62
V = 499.7 Å³/cell

a b c (Å): 12.8274 7.7396 5.0330
angles (deg): 90.00 90.00 90.00
Fractional positions:
1 Ta 0.1123 0.2500 0.2204
2 Ta 0.1363 0.7500 0.0120
3 Ta 0.3637 0.2500 0.5120
4 Ta 0.3877 0.7500 0.7204
5 Ta 0.6123 0.2500 0.2796
6 Ta 0.6363 0.7500 0.4880
7 Ta 0.8637 0.2500 0.9880
8 Ta 0.8877 0.7500 0.7796
9 Ti 0.0327 0.0442 0.7538
10 Ti 0.0327 0.4558 0.7538
11 Ti 0.2171 0.5436 0.4851
12 Ti 0.2171 0.9564 0.4851
13 Ti 0.2829 0.0436 0.9851
14 Ti 0.2829 0.4564 0.9851
15 Ti 0.4673 0.5442 0.2538
16 Ti 0.4673 0.9558 0.2538
17 Ti 0.5327 0.0442 0.7462
18 Ti 0.5327 0.4558 0.7462
19 Ti 0.7171 0.5436 0.0149
20 Ti 0.7171 0.9564 0.0149
21 Ti 0.7829 0.0436 0.5149
22 Ti 0.7829 0.4564 0.5149
23 Ti 0.9673 0.5442 0.2462
24 Ti 0.9673 0.9558 0.2462
25 P 0.0683 0.7500 0.5279
26 P 0.1798 0.2500 0.7137
27 P 0.3202 0.7500 0.2137
28 P 0.4317 0.2500 0.0279
29 P 0.5683 0.7500 0.9721
30 P 0.6798 0.2500 0.7863
31 P 0.8202 0.7500 0.2863
32 P 0.9317 0.2500 0.4721

Compound: Ta3TiP
Source: Alexandria via LeMat-Bulk
Functional: PBE
Structure: optimized geometry

ΔE_f = 0.26 eV per atom
DFT total energy = -47.6 eV for the cell shown
Distance to the lowest polymorph of the same formula = 0 meV per atom
Space group = Pm-3m, No. 221
V = 97.0 Å³/cell

a b c (Å): 4.5951 4.5951 4.5951
angles (deg): 90.00 90.00 90.00
Fractional positions:
1 Ta 0.0000 0.0000 0.5000
2 Ta 0.0000 0.5000 0.0000
3 Ta 0.5000 0.0000 0.0000
4 Ti 0.5000 0.5000 0.5000
5 P 0.0000 0.0000 0.0000

Compound: TaTi6P4
Source: Alexandria via LeMat-Bulk
Functional: PBE
Structure: optimized geometry

ΔE_f = -0.72 eV per atom
DFT total energy = -88.8 eV for the cell shown
Space group = I-42m, No. 121
V = 183.2 Å³/cell

a b c (Å): 6.3545 6.3545 6.3545
angles (deg): 119.35 119.35 91.13
Fractional positions:
1 Ta 0.0000 0.0000 0.0000
2 Ti 0.0000 0.5000 0.5000
3 Ti 0.1821 0.4728 0.0000
4 Ti 0.4728 0.1821 0.0000
5 Ti 0.5000 0.0000 0.5000
6 Ti 0.5272 0.5272 0.7093
7 Ti 0.8179 0.8179 0.2907
8 P 0.1819 0.1819 0.5459
9 P 0.3640 0.8181 0.0000
10 P 0.6360 0.6360 0.4541
11 P 0.8181 0.3640 0.0000

Compound: TaTi2P
Source: Alexandria via LeMat-Bulk
Functional: PBE
Structure: optimized geometry

ΔE_f = -0.13 eV per atom
DFT total energy = -67.2 eV for the cell shown
Space group = I-42d, No. 122
V = 137.2 Å³/cell

a b c (Å): 5.8186 5.8186 5.8186
angles (deg): 100.41 100.41 129.68
Fractional positions:
1 Ta 0.0000 0.0000 0.0000
2 Ta 0.7500 0.2500 0.5000
3 Ti 0.1832 0.1250 0.5582
4 Ti 0.3750 0.8168 0.9418
5 Ti 0.5668 0.6250 0.4418
6 Ti 0.8750 0.4332 0.0582
7 P 0.2500 0.7500 0.5000
8 P 0.5000 0.5000 0.0000

Compound: TaTi2P
Source: Alexandria via LeMat-Bulk
Functional: PBE
Structure: optimized geometry

ΔE_f = -0.78 eV per atom
DFT total energy = -72.4 eV for the cell shown
Space group = Cmcm, No. 63
V = 124.4 Å³/cell

a b c (Å): 5.0097 5.0097 7.7406
angles (deg): 90.00 90.00 140.17
Fractional positions:
1 Ta 0.0531 0.9469 0.7500
2 Ta 0.9469 0.0531 0.2500
3 Ti 0.3604 0.6396 0.5458
4 Ti 0.3604 0.6396 0.9542
5 Ti 0.6396 0.3604 0.0458
6 Ti 0.6396 0.3604 0.4542
7 P 0.2345 0.7655 0.2500
8 P 0.7655 0.2345 0.7500

Compound: Ta3TiP
Source: Alexandria via LeMat-Bulk
Functional: PBE
Structure: optimized geometry

ΔE_f = 1.58 eV per atom
DFT total energy = -41.0 eV for the cell shown
Distance to the lowest polymorph of the same formula = 1322 meV per atom
Space group = Pm-3m, No. 221
V = 102.7 Å³/cell

a b c (Å): 4.6835 4.6835 4.6835
angles (deg): 90.00 90.00 90.00
Fractional positions:
1 Ta 0.0000 0.0000 0.5000
2 Ta 0.0000 0.5000 0.0000
3 Ta 0.5000 0.0000 0.0000
4 Ti 0.0000 0.0000 0.0000
5 P 0.5000 0.5000 0.5000

Compound: TaTiPW2
Source: Alexandria via LeMat-Bulk
Functional: PBE
Structure: optimized geometry

ΔE_f = 1.53 eV per atom
DFT total energy = -43.4 eV for the cell shown
Space group = P4/mmm, No. 123
V = 94.2 Å³/cell

a b c (Å): 4.6726 4.6726 4.3128
angles (deg): 90.00 90.00 90.00
Fractional positions:
1 Ta 0.0000 0.0000 0.0000
2 Ti 0.5000 0.5000 0.5000
3 P 0.5000 0.5000 0.0000
4 W 0.0000 0.5000 0.5000
5 W 0.5000 0.0000 0.5000

Compound: TaTl2P
Source: Alexandria via LeMat-Bulk
Functional: PBE
Structure: optimized geometry

ΔE_f = 0.85 eV per atom
DFT total energy = -18.6 eV for the cell shown
Distance to the lowest polymorph of the same formula = 862 meV per atom
Space group = F-43m, No. 216
V = 85.4 Å³/cell

a b c (Å): 4.9439 4.9439 4.9439
angles (deg): 60.00 60.00 60.00
Fractional positions:
1 Ta 0.0000 0.0000 0.0000
2 Tl 0.2500 0.2500 0.2500
3 Tl 0.5000 0.5000 0.5000
4 P 0.7500 0.7500 0.7500

Compound: TaTl2P
Source: Alexandria via LeMat-Bulk
Functional: PBE
Structure: optimized geometry

ΔE_f = 0.68 eV per atom
DFT total energy = -19.3 eV for the cell shown
Distance to the lowest polymorph of the same formula = 688 meV per atom
Space group = C2/m, No. 12
V = 86.6 Å³/cell

a b c (Å): 6.0656 6.0656 3.4783
angles (deg): 105.64 105.64 124.15
Fractional positions:
1 Ta 0.0000 0.0000 0.0000
2 Tl 0.0000 0.5000 0.5000
3 Tl 0.5000 0.0000 0.5000
4 P 0.5000 0.5000 0.0000

Compound: TaTl3P
Source: Alexandria via LeMat-Bulk
Functional: PBE
Structure: optimized geometry

ΔE_f = 1.33 eV per atom
DFT total energy = -17.7 eV for the cell shown
Distance to the lowest polymorph of the same formula = 134 meV per atom
Space group = Pm-3m, No. 221
V = 146.4 Å³/cell

a b c (Å): 5.2708 5.2708 5.2708
angles (deg): 90.00 90.00 90.00
Fractional positions:
1 Ta 0.0000 0.0000 0.0000
2 Tl 0.0000 0.5000 0.5000
3 Tl 0.5000 0.0000 0.5000
4 Tl 0.5000 0.5000 0.0000
5 P 0.5000 0.5000 0.5000

Compound: TaTl2P
Source: Alexandria via LeMat-Bulk
Functional: PBE
Structure: optimized geometry

ΔE_f = 0.28 eV per atom
DFT total energy = -20.9 eV for the cell shown
Distance to the lowest polymorph of the same formula = 286 meV per atom
Space group = Imm2, No. 44
V = 90.8 Å³/cell

a b c (Å): 6.2262 6.2262 6.2262
angles (deg): 149.36 131.97 58.06
Fractional positions:
1 Ta 0.0000 0.0000 0.0000
2 Tl 0.4442 0.4442 0.0000
3 Tl 0.7327 0.2327 0.5000
4 P 0.1627 0.6627 0.5000